Here is a relaxed structure of AcGdHgRu from Alexandria. Energies are from GGA-PBE.

Summary:
Uncorrected energy ... -7.133 eV/atom
Volume ... 26.000 Å³/atom

CIF file:
```
data_AcGdHgRu
_space_group_name_H-M_alt 'F -4 3 m'
_space_group_IT_number 216
_space_group_name_Hall 'F -4 2 3'
_cell_length_a 7.465
_cell_length_b 7.465
_cell_length_c 7.465
_cell_angle_alpha 90.00
_cell_angle_beta 90.00
_cell_angle_gamma 90.00
loop_
_atom_site_label
_atom_site_fract_x
_atom_site_fract_y
_atom_site_fract_z
Ac1 0.000 0.000 0.000
Gd1 0.000 0.000 0.500
Hg1 0.250 0.250 0.750
Ru1 0.250 0.250 0.250
```

Here is a relaxed structure of CaLa4Te5 from Alexandria. Energies are from GGA-PBE.

Summary:
Formation energy from raw total energies ... -1.5888 eV/atom
Offset from the most stable computed form ... 9 meV/atom
Volume ... 33.733 Å³/atom

CIF file:
```
data_CaLa4Te5
_space_group_name_H-M_alt 'I 4/m'
_space_group_IT_number 87
_space_group_name_Hall '-I 4'
_cell_length_a 10.215
_cell_length_b 10.215
_cell_length_c 6.466
_cell_angle_alpha 90.00
_cell_angle_beta 90.00
_cell_angle_gamma 90.00
loop_
_atom_site_label
_atom_site_fract_x
_atom_site_fract_y
_atom_site_fract_z
Ca1 0.000 0.000 0.000
La1 0.098 0.303 0.500
Te1 0.000 0.000 0.500
Te2 0.099 0.293 0.000
```